Record 1
Entry from the Alexandria database: crystalline Ho2As6Pd21 at its relaxed geometry (PBE).

Properties
Spin magnetization ... 0.000 Bohr magnetons per cell
Formation energy ... -0.51 eV per atom
Theoretical density ... 10.30 g/cm³

Unit cell a=8.8251 b=8.8251 c=8.8251 alpha=60.00 beta=60.00 gamma=60.00
Closest atoms and distances in Å follow each position.
Atoms (fractional coordinates):
As 0.7381 0.2619 0.2619  8 Pd 2.43-2.56
Pd 0.6515 0.0000 0.0000  2 As 2.43, 1 Pd 2.67
Pd 0.0000 0.3485 0.6515  2 As 2.43, 1 Pd 2.67
As 0.2619 0.2619 0.7381  8 Pd 2.43-2.56
Pd 0.0000 0.6515 0.3485  2 As 2.43, 1 Pd 2.67
As 0.2619 0.7381 0.2619  8 Pd 2.43-2.56
As 0.2619 0.7381 0.7381  8 Pd 2.43-2.56
Pd 0.6176 0.6176 0.6176  3 As 2.56, 1 Ho 2.86
Pd 0.6176 0.1472 0.6176  3 As 2.56, 1 Ho 2.86
Pd 0.3485 0.6515 0.0000  2 As 2.43, 1 Pd 2.67
Pd 0.0000 0.6515 0.0000  2 As 2.43, 1 Pd 2.67
Pd 0.3824 0.3824 0.3824  3 As 2.56, 1 Ho 2.86
Pd 0.6515 0.0000 0.3485  2 As 2.43, 1 Pd 2.67
Pd 0.3824 0.8528 0.3824  3 As 2.56, 1 Ho 2.86
As 0.7381 0.7381 0.2619  8 Pd 2.43-2.56
Pd 0.0000 0.0000 0.3485  2 As 2.43, 1 Pd 2.67
Pd 0.0000 0.3485 0.0000  2 As 2.43, 1 Pd 2.67
As 0.7381 0.2619 0.7381  8 Pd 2.43-2.56
Pd 0.8528 0.3824 0.3824  3 As 2.56, 1 Ho 2.86
Pd 0.3824 0.3824 0.8528  3 As 2.56, 1 Ho 2.86
Ho 0.7500 0.7500 0.7500  4 Pd 2.86
Pd 0.3485 0.0000 0.6515  2 As 2.43, 1 Pd 2.67
Pd 0.6176 0.6176 0.1472  3 As 2.56, 1 Ho 2.86
Pd 0.6515 0.3485 0.0000  2 As 2.43, 1 Pd 2.67
Pd 0.1472 0.6176 0.6176  3 As 2.56, 1 Ho 2.86
Pd 0.0000 0.0000 0.0000  12 Pd 3.08, 6 As 3.27
Ho 0.2500 0.2500 0.2500  4 Pd 2.86
Pd 0.3485 0.0000 0.0000  2 As 2.43, 1 Pd 2.67
Pd 0.0000 0.0000 0.6515  2 As 2.43, 1 Pd 2.67

---

Record 2
Entry from the Alexandria database: crystalline HoAs2Pd4 at its relaxed geometry (PBE).

Properties
Distance to the lowest polymorph of the same formula ... 74 meV per atom
Spin magnetization ... 0.000 Bohr magnetons per cell
Formation energy ... -0.64 eV per atom
Theoretical density ... 9.83 g/cm³

Unit cell a=4.3547 b=4.3079 c=7.0078 alpha=107.90 beta=90.00 gamma=90.00
Closest atoms and distances in Å follow each position.
Atoms (fractional coordinates):
Pd 0.5000 0.1782 0.3564  2 As 2.44
As 0.5000 0.5923 0.1845  4 Pd 2.44, 1 As 2.46
Ho 0.0000 0.0000 0.0000  8 Pd 3.18-3.22, 8 As 3.30
Pd 0.0000 0.6755 0.3510  2 As 2.44
Pd 0.0000 0.3245 0.6490  2 As 2.44
Pd 0.5000 0.8218 0.6436  2 As 2.44
As 0.5000 0.4077 0.8155  4 Pd 2.44, 1 As 2.46

---

Record 3
Entry from the Alexandria database: crystalline HoAs3Pd5 at its relaxed geometry (PBE).

Properties
Spin magnetization ... 0.000 Bohr magnetons per cell
Formation energy ... -0.55 eV per atom
Theoretical density ... 9.35 g/cm³

Unit cell a=4.1644 b=7.2234 c=11.3716 alpha=90.00 beta=90.00 gamma=106.75
Closest atoms and distances in Å follow each position.
Atoms (fractional coordinates):
Pd 0.0000 0.0000 0.0000  4 As 2.65, 4 Pd 2.89
As 0.4117 0.8233 0.9048  5 Pd 2.48-2.65
Pd 0.6018 0.2036 0.6253  4 As 2.51-2.65
As 0.4117 0.8233 0.5952  5 Pd 2.48-2.65
Pd 0.3982 0.7964 0.1253  4 As 2.51-2.65
As 0.8675 0.7351 0.2500  6 Pd 2.46-2.55
Pd 0.2332 0.4663 0.5721  2 As 2.46-2.48, 2 Pd 2.69
Ho 0.8156 0.6312 0.7500  6 As 3.03-3.28, 6 Pd 3.12-3.28
Pd 0.7668 0.5337 0.0721  2 As 2.46-2.48, 2 Pd 2.69
As 0.5883 0.1767 0.0952  5 Pd 2.48-2.65
Pd 0.0000 0.0000 0.5000  4 As 2.65, 4 Pd 2.89
Pd 0.2332 0.4663 0.9279  2 As 2.46-2.48, 2 Pd 2.69
Pd 0.7668 0.5337 0.4279  2 As 2.46-2.48, 2 Pd 2.69
Pd 0.3982 0.7964 0.3747  4 As 2.51-2.65
Pd 0.6018 0.2036 0.8747  4 As 2.51-2.65
Ho 0.1844 0.3688 0.2500  6 As 3.03-3.28, 6 Pd 3.12-3.28
As 0.5883 0.1767 0.4048  5 Pd 2.48-2.65
As 0.1325 0.2649 0.7500  6 Pd 2.46-2.55

---

Record 4
Entry from the Alexandria database: crystalline HoAsPd at its relaxed geometry (PBE).

Properties
Spin magnetization ... 0.000 Bohr magnetons per cell
Formation energy ... -0.81 eV per atom
Theoretical density ... 9.23 g/cm³

Unit cell a=3.8753 b=3.8753 c=4.9720 alpha=112.94 beta=112.94 gamma=90.00
Closest atoms and distances in Å follow each position.
Atoms (fractional coordinates):
As 0.6272 0.6272 0.2543  1 Pd 2.57, 1 Ho 2.83
Ho 0.2855 0.2855 0.5711  5 As 2.83-3.04, 5 Pd 2.89-3.02
Pd 0.9373 0.9373 0.8746  1 As 2.57

---

Record 5
Entry from the Alexandria database: crystalline HoAsPd at its relaxed geometry (PBE).

Properties
Spin magnetization ... 0.000 Bohr magnetons per cell
Formation energy ... -1.19 eV per atom
Theoretical density ... 9.97 g/cm³

Unit cell a=4.1121 b=7.0074 c=12.0149 alpha=89.49 beta=90.00 gamma=90.00
Closest atoms and distances in Å follow each position.
Atoms (fractional coordinates):
Pd 0.2500 0.3754 0.2072  4 As 2.64-2.68
As 0.7500 0.2564 0.7503  3 Pd 2.60-2.64
Pd 0.7500 0.6246 0.7928  4 As 2.64-2.68
Ho 0.7500 0.0370 0.2930  5 As 2.89-2.96, 5 Pd 3.09-3.19
Pd 0.7500 0.0009 0.9089  4 As 2.60-2.79
Pd 0.2500 0.8564 0.4576  4 As 2.63-2.80
As 0.2500 0.7436 0.2497  3 Pd 2.60-2.64
As 0.2500 0.2503 0.4183  4 Pd 2.64-2.80, 5 Ho 2.90-2.96
Ho 0.2500 0.9630 0.7070  5 As 2.89-2.96, 5 Pd 3.09-3.19
As 0.7500 0.2535 0.0871  5 Pd 2.66-2.79, 4 Ho 2.89-2.92
Ho 0.7500 0.6697 0.0780  5 As 2.90-2.96, 3 Pd 3.07-3.10
Ho 0.7500 0.5334 0.3762  5 As 2.90-2.94, 4 Pd 3.10-3.22
As 0.7500 0.7497 0.5817  4 Pd 2.64-2.80, 5 Ho 2.90-2.96
Ho 0.2500 0.3303 0.9220  5 As 2.90-2.96, 3 Pd 3.07-3.10
Ho 0.2500 0.4666 0.6238  5 As 2.90-2.94, 4 Pd 3.10-3.22
Pd 0.7500 0.1436 0.5424  4 As 2.63-2.80
As 0.2500 0.7465 0.9129  5 Pd 2.66-2.79, 4 Ho 2.89-2.92
Pd 0.2500 0.9991 0.0911  4 As 2.60-2.79

---

Record 6
Entry from the Alexandria database: crystalline Ho2As3Pd5 at its relaxed geometry (PBE).

Properties
Spin magnetization ... 0.000 Bohr magnetons per cell
Formation energy ... -0.83 eV per atom
Theoretical density ... 10.01 g/cm³

Unit cell a=4.3289 b=6.9240 c=12.2209 alpha=90.00 beta=100.20 gamma=90.00
Closest atoms and distances in Å follow each position.
Atoms (fractional coordinates):
Pd 0.2747 0.4824 0.5493  3 As 2.46-2.53
Pd 0.7253 0.9824 0.4507  3 As 2.46-2.53
Pd 0.6067 0.9509 0.2133  3 As 2.59-2.64, 1 Pd 2.86
As 0.7753 0.6725 0.5505  7 Pd 2.46-2.72
Pd 0.0538 0.5820 0.1076  4 As 2.53-2.72
Ho 0.5211 0.2726 0.0422  5 As 2.94-3.06, 7 Pd 3.03-3.27
Ho 0.4789 0.7726 0.9578  5 As 2.94-3.06, 7 Pd 3.03-3.27
As 0.3917 0.0697 0.7835  4 Pd 2.53-2.64
Ho 0.1742 0.7386 0.3484  3 As 2.93-3.24, 7 Pd 3.00-3.21
Pd 0.6989 0.3828 0.3978  4 As 2.54-2.72
Pd 0.1227 0.2395 0.2454  2 As 2.50-2.58
Pd 0.8773 0.7395 0.7546  2 As 2.50-2.58
As 0.6083 0.5697 0.2165  4 Pd 2.53-2.64
As 0.0477 0.9738 0.0954  5 Pd 2.55-2.72
As 0.9523 0.4738 0.9046  5 Pd 2.55-2.72
Pd 0.9462 0.0820 0.8924  4 As 2.53-2.72
Ho 0.8258 0.2386 0.6516  3 As 2.93-3.24, 7 Pd 3.00-3.21
Pd 0.3011 0.8828 0.6022  4 As 2.54-2.72
Pd 0.3933 0.4509 0.7867  3 As 2.59-2.64, 1 Pd 2.86
As 0.2247 0.1725 0.4495  7 Pd 2.46-2.72

---

Record 7
Entry from the Alexandria database: crystalline Ho3As4Pd7 at its relaxed geometry (PBE).

Properties
Spin magnetization ... 0.000 Bohr magnetons per cell
Formation energy ... -0.91 eV per atom
Theoretical density ... 10.15 g/cm³

Unit cell a=4.1228 b=8.1106 c=8.3597 alpha=71.36 beta=75.72 gamma=75.28
Closest atoms and distances in Å follow each position.
Atoms (fractional coordinates):
Pd 0.3062 0.8621 0.5255  4 As 2.53-2.61
As 0.8941 0.8890 0.3229  6 Pd 2.52-2.61
Pd 0.4872 0.2301 0.7955  3 As 2.56, 2 Pd 2.85
Ho 0.6786 0.8161 0.8267  10 Pd 2.98-3.25, 4 As 3.02-3.09
Ho 0.3214 0.1839 0.1733  10 Pd 2.98-3.25, 4 As 3.02-3.09
Pd 0.8332 0.4053 0.9283  3 As 2.63-2.67, 2 Pd 2.85
Pd 0.5128 0.7699 0.2045  3 As 2.56, 2 Pd 2.85
Pd 0.6938 0.1379 0.4745  4 As 2.53-2.61
Pd 0.0000 0.0000 0.0000  2 As 2.52
As 0.6585 0.4335 0.2495  5 Pd 2.53-2.67
Ho 0.0000 0.5000 0.5000  6 As 2.99-3.04, 2 Pd 3.34
As 0.1059 0.1110 0.6771  6 Pd 2.52-2.61
As 0.3415 0.5665 0.7505  5 Pd 2.53-2.67
Pd 0.1668 0.5947 0.0717  3 As 2.63-2.67, 2 Pd 2.85

---

Record 8
Entry from the Alexandria database: crystalline HoAs2Pd4 at its relaxed geometry (PBE).

Properties
Distance to the lowest polymorph of the same formula ... 0 meV per atom
Spin magnetization ... 0.000 Bohr magnetons per cell
Formation energy ... -0.71 eV per atom
Theoretical density ... 10.08 g/cm³

Unit cell a=4.0765 b=7.7342 c=7.7342 alpha=90.00 beta=90.00 gamma=90.00
Closest atoms and distances in Å follow each position.
Atoms (fractional coordinates):
As 0.0000 0.7782 0.2218  6 Pd 2.54-2.56
Pd 0.5000 0.8366 0.4141  3 As 2.54-2.56, 1 Pd 2.74
Pd 0.5000 0.5859 0.1634  3 As 2.54-2.56, 1 Pd 2.74
As 0.5000 0.7218 0.7218  6 Pd 2.54-2.56
Pd 0.0000 0.0859 0.3366  3 As 2.54-2.56, 1 Pd 2.74
Ho 0.5000 0.0000 0.0000  6 As 3.04-3.17, 8 Pd 3.37
Pd 0.0000 0.9141 0.6634  3 As 2.54-2.56, 1 Pd 2.74
Pd 0.0000 0.3366 0.0859  3 As 2.54-2.56, 1 Pd 2.74
Pd 0.5000 0.4141 0.8366  3 As 2.54-2.56, 1 Pd 2.74
Pd 0.5000 0.1634 0.5859  3 As 2.54-2.56, 1 Pd 2.74
Pd 0.0000 0.6634 0.9141  3 As 2.54-2.56, 1 Pd 2.74
As 0.0000 0.2218 0.7782  6 Pd 2.54-2.56
Ho 0.0000 0.5000 0.5000  6 As 3.04-3.17, 8 Pd 3.37
As 0.5000 0.2782 0.2782  6 Pd 2.54-2.56

---

Record 9
Entry from the Alexandria database: crystalline HoAsPd at its relaxed geometry (PBE).

Properties
Spin magnetization ... 0.000 Bohr magnetons per cell
Formation energy ... -1.19 eV per atom
Theoretical density ... 9.96 g/cm³

Unit cell a=4.1303 b=7.0368 c=7.9487 alpha=90.00 beta=90.00 gamma=90.00
Closest atoms and distances in Å follow each position.
Atoms (fractional coordinates):
Ho 0.2500 0.5311 0.3090  5 As 2.91-2.98, 5 Pd 3.05-3.25
Ho 0.2500 0.0311 0.1910  5 As 2.91-2.98, 5 Pd 3.05-3.25
Pd 0.2500 0.1433 0.5621  4 As 2.63-2.82
As 0.7500 0.2516 0.3790  4 Pd 2.63-2.82, 3 Ho 2.91
Ho 0.7500 0.9689 0.8090  5 As 2.91-2.98, 5 Pd 3.05-3.25
As 0.7500 0.7516 0.1210  4 Pd 2.63-2.82, 3 Ho 2.91
Pd 0.7500 0.3567 0.0621  4 As 2.63-2.82
Pd 0.7500 0.8567 0.4379  4 As 2.63-2.82
As 0.2500 0.7484 0.6210  4 Pd 2.63-2.82, 3 Ho 2.91
Pd 0.2500 0.6433 0.9379  4 As 2.63-2.82
As 0.2500 0.2484 0.8790  4 Pd 2.63-2.82, 3 Ho 2.91
Ho 0.7500 0.4689 0.6910  5 As 2.91-2.98, 5 Pd 3.05-3.25

---

Record 10
Entry from the Alexandria database: crystalline HoAsPd at its relaxed geometry (PBE).

Properties
Spin magnetization ... 0.000 Bohr magnetons per cell
Formation energy ... -1.12 eV per atom
Theoretical density ... 9.72 g/cm³

Unit cell a=4.1246 b=4.1246 c=6.9573 alpha=90.00 beta=90.00 gamma=90.00
Closest atoms and distances in Å follow each position.
Atoms (fractional coordinates):
Pd 0.5032 0.5032 0.5000  4 As 2.77, 4 Pd 2.92, 4 Ho 3.01
As 0.0031 0.5031 0.2334  4 Pd 2.77, 5 Ho 2.91-2.94
Ho 0.5031 0.0031 0.1849  5 As 2.91-2.94, 4 Pd 3.01
As 0.5031 0.0031 0.7666  4 Pd 2.77, 5 Ho 2.91-2.94
Pd 0.0032 0.0032 0.5000  4 As 2.77, 4 Pd 2.92, 4 Ho 3.01
Ho 0.0031 0.5031 0.8151  5 As 2.91-2.94, 4 Pd 3.01

---

Record 11
Entry from the Alexandria database: crystalline Ho2As3Pd9 at its relaxed geometry (PBE).

Properties
Spin magnetization ... 0.000 Bohr magnetons per cell
Formation energy ... -0.69 eV per atom
Theoretical density ... 10.52 g/cm³

Unit cell a=7.8440 b=7.8440 c=10.0483 alpha=89.66 beta=113.46 gamma=119.85
Closest atoms and distances in Å follow each position.
Atoms (fractional coordinates):
As 0.8506 0.1782 0.5003  4 Pd 2.45-2.54
Pd 0.7921 0.4874 0.4178  3 As 2.51-2.77
Pd 0.2079 0.5126 0.5822  3 As 2.51-2.77
Ho 0.9929 0.5859 0.7500  11 Pd 2.95-3.30
Pd 0.5697 0.3744 0.0822  3 As 2.51-2.77
Ho 0.6641 0.7571 0.2500  11 Pd 2.95-3.30
Pd 0.7833 0.3206 0.9208  3 As 2.54-2.78, 2 Pd 2.81-2.82
As 0.1494 0.8218 0.4997  4 Pd 2.45-2.54
Ho 0.3359 0.2429 0.7500  11 Pd 2.95-3.30
Pd 0.4303 0.6256 0.9178  3 As 2.51-2.77
As 0.1778 0.3502 0.9997  4 Pd 2.45-2.54
Pd 0.1002 0.1375 0.4208  3 As 2.54-2.78, 2 Pd 2.81-2.82
Pd 0.8544 0.0143 0.0518  3 As 2.56-2.84
Pd 0.4625 0.8025 0.4482  3 As 2.56-2.84
Pd 0.2167 0.6794 0.0792  3 As 2.54-2.78, 2 Pd 2.81-2.82
Pd 0.1165 0.8665 0.2500  2 As 2.46
Pd 0.1456 0.9857 0.9482  3 As 2.56-2.84
As 0.5000 0.5000 0.5000  8 Pd 2.48-2.78
Ho 0.0071 0.4141 0.2500  11 Pd 2.95-3.30
Pd 0.6769 0.7138 0.7538  2 As 2.45-2.48
Pd 0.5401 0.0769 0.2538  2 As 2.45-2.48
As 0.8222 0.6498 0.0003  4 Pd 2.45-2.54
Pd 0.8998 0.8625 0.5792  3 As 2.54-2.78, 2 Pd 2.81-2.82
Pd 0.5375 0.1975 0.5518  3 As 2.56-2.84
Pd 0.4599 0.9231 0.7462  2 As 2.45-2.48
Pd 0.8835 0.1335 0.7500  2 As 2.46
Pd 0.3231 0.2862 0.2462  2 As 2.45-2.48
As 0.5000 0.0000 0.0000  8 Pd 2.48-2.78

---

Record 12
Entry from the Alexandria database: crystalline HoSb2As2Pd7 at its relaxed geometry (PBE).

Properties
Formation energy (no corrections) ... -49.9 kJ per mole of atoms
Spin magnetization ... 0.000 Bohr magnetons per cell
Theoretical density ... 8.91 g/cm³

Unit cell a=3.9760 b=3.9760 c=15.6220 alpha=82.64 beta=82.64 gamma=90.04
Closest atoms and distances in Å follow each position.
Atoms (fractional coordinates):
Pd 0.5718 0.0718 0.8581  2 As 2.48
As 0.6200 0.6200 0.7621  5 Pd 2.46-2.48
As 0.3800 0.3800 0.2379  5 Pd 2.46-2.48
Sb 0.2142 0.2142 0.5732  5 Pd 2.69-2.85
Pd 0.0718 0.5718 0.8581  2 As 2.48
Sb 0.7858 0.7858 0.4268  5 Pd 2.69-2.85
Pd 0.5000 0.5000 0.0000  4 Ho 2.81, 8 Pd 2.95
Pd 0.3004 0.3004 0.3983  1 As 2.46, 1 Sb 2.69
Pd 0.6996 0.6996 0.6017  1 As 2.46, 1 Sb 2.69
Pd 0.9282 0.4282 0.1419  2 As 2.48
Pd 0.4282 0.9282 0.1419  2 As 2.48
Ho 0.0000 0.0000 0.0000  12 Pd 2.81-2.95